Compound: TmCdPb2
Source: Alexandria via LeMat-Bulk
Functional: PBE
Structure: optimized geometry

Unit cell a=4.685 b=4.685 c=6.904 alpha=70.16 beta=70.16 gamma=60.00
Positions (direct):
Cd 0.496 0.496 0.512
Tm 0.672 0.672 0.983
Pb 0.082 0.082 0.753
Pb 0.250 0.250 0.251

Output
Space-group type ... R3m (160)



Compound: Tm3Cd2Pb
Source: Alexandria via LeMat-Bulk
Functional: PBE
Structure: optimized geometry

Unit cell a=3.709 b=3.709 c=11.328 alpha=90.00 beta=90.00 gamma=90.00
Positions (direct):
Cd 0.500 0.500 0.844
Cd 0.500 0.500 0.156
Tm 0.000 0.000 0.000
Tm 0.000 0.000 0.322
Tm 0.000 0.000 0.678
Pb 0.500 0.500 0.500

Output
Space-group type ... P4/mmm (123)



no.,excess energy over the best structure of this formula in the dataset (meV/atom),energy relative to the elements (meV per atom)
1,204,-47
2,9,-326